[1]
Material: NaHgMo2
Method: DFT, PBE
State: optimized geometry

Results
The value obtained for the theoretical density is 8.43 g/cm³. The total energy comes out at -0.1660 hartree per atom. As for the density of states at the Fermi level: 0.95 states/eV/atom.

a = 8.087 Å, b = 8.087 Å, c = 5.007 Å
α = 90.00°, β = 90.00°, γ = 90.00°
Space group I-42d (No. 122)
Asymmetric unit:
Na: 0.000 0.000 0.000 (multiplicity 4)
Hg: 0.000 0.000 0.500 (multiplicity 4)
Mo: 0.216 0.250 0.625 (multiplicity 8)

[2]
Material: SbIrCS2
Method: DFT, PBE
State: optimized geometry

Results
The value obtained for the theoretical density is 7.84 g/cm³. The total energy comes out at -0.1847 hartree per atom. The energy relative to the elements, uncorrected is 1066 meV/atom. As for the density of states at the Fermi level: 0.94 states/eV/atom.

a = 4.580 Å, b = 4.580 Å, c = 3.940 Å
α = 90.00°, β = 90.00°, γ = 90.00°
Space group P4/mmm (No. 123)
Asymmetric unit:
Sb: 0.000 0.000 0.000 (multiplicity 1)
Ir: 0.500 0.500 0.000 (multiplicity 1)
C: 0.500 0.500 0.500 (multiplicity 1)
S: 0.000 0.500 0.500 (multiplicity 2)